No. 1
First-principles (GGA-PBE) data for an optimized crystal structure of Ca2TlFe, as listed in Alexandria.

Total magnetization = 2.729 μB/f.u.
Formation energy = 253 meV per atom

Cell lengths 7.268, 7.268, 7.268 Å; angles 90.00, 90.00, 90.00 degrees
Space group F-43m (No. 216)
Unique sites:
Ca 0.000 0.000 0.000 [4 per cell]
Ca 0.250 0.250 0.250 [4 per cell]
Tl 0.000 0.000 0.500 [4 per cell]
Fe 0.250 0.250 0.750 [4 per cell]

No. 2
First-principles (GGA-PBE) data for an optimized crystal structure of Sm6Al43Cr4, as listed in Alexandria.

Total magnetization = 1.092 μB/f.u.
Formation energy = -272 meV per atom

Cell lengths 10.9621, 10.9621, 17.7276 Å; angles 90.00, 90.00, 120.00 degrees
Space group P6_3/mcm (No. 193)
Unique sites:
Sm 0.0000 0.4709 0.0951 [12 per cell]
Al 0.0000 0.1449 0.7500 [6 per cell]
Al 0.0000 0.1552 0.1159 [12 per cell]
Al 0.0000 0.2485 0.5305 [12 per cell]
Al 0.1441 0.5463 0.2500 [12 per cell]
Al 0.1583 0.3901 0.6665 [24 per cell]
Al 0.2464 0.4927 0.0000 [12 per cell]
Al 0.3333 0.6667 0.1276 [8 per cell]
Cr 0.0000 0.0000 0.0000 [2 per cell]
Cr 0.0000 0.2657 0.2500 [6 per cell]

No. 3
First-principles (GGA-PBE) data for an optimized crystal structure of CeEuDyTm, as listed in Alexandria.

Total magnetization = 8.376 μB/f.u.
Formation energy = 219 meV per atom

Cell lengths 8.093, 8.093, 8.093 Å; angles 90.00, 90.00, 90.00 degrees
Space group F-43m (No. 216)
Unique sites:
Ce 0.000 0.000 0.000 [4 per cell]
Eu 0.000 0.000 0.500 [4 per cell]
Dy 0.250 0.250 0.250 [4 per cell]
Tm 0.250 0.250 0.750 [4 per cell]

No. 4
First-principles (GGA-PBE) data for an optimized crystal structure of V2SnSbC, as listed in Alexandria.

Total magnetization = 0.001 μB/f.u.
Formation energy from raw total energies = 1.798 eV/atom

Cell lengths 4.985, 4.985, 4.167 Å; angles 90.00, 90.00, 90.00 degrees
Space group P4/mmm (No. 123)
Unique sites:
V 0.000 0.500 0.000 [2 per cell]
Sn 0.000 0.000 0.500 [1 per cell]
Sb 0.500 0.500 0.000 [1 per cell]
C 0.500 0.500 0.500 [1 per cell]

No. 5
First-principles (GGA-PBE) data for an optimized crystal structure of Y2ThP3, as listed in Alexandria.

Total magnetization = 0.000 μB/f.u.
Formation energy = -1399 meV per atom

Cell lengths 15.682, 4.027, 9.875 Å; angles 90.00, 109.02, 90.00 degrees
Space group C2/m (No. 12)
Unique sites:
Y 0.169 0.000 0.335 [4 per cell]
Y 0.170 0.500 0.836 [4 per cell]
Th 0.000 0.000 0.500 [2 per cell]
Th 0.000 0.500 0.000 [2 per cell]
P 0.029 0.000 0.805 [4 per cell]
P 0.140 0.500 0.527 [4 per cell]
P 0.195 0.500 0.140 [4 per cell]

No. 6
First-principles (GGA-PBE) data for an optimized crystal structure of KScTi, as listed in Alexandria.

Total magnetization = 0.012 μB/f.u.
Energy relative to the lowest polymorph listed for this composition = 156 meV per atom
Formation energy = 394 meV per atom

Cell lengths 4.160, 4.194, 12.546 Å; angles 80.68, 89.82, 90.00 degrees
Space group P1 (No. 1)
Unique sites:
K 0.000 0.000 0.000 [1 per cell]
K 0.497 0.658 0.697 [1 per cell]
Sc 0.494 0.294 0.423 [1 per cell]
Sc 0.994 0.795 0.420 [1 per cell]
Ti 0.495 0.874 0.258 [1 per cell]
Ti 0.995 0.374 0.257 [1 per cell]

No. 7
First-principles (GGA-PBE) data for an optimized crystal structure of AlFe3Co, as listed in Alexandria.

Total magnetization = 8.932 μB/f.u.
Energy relative to the lowest polymorph listed for this composition = 453 meV per atom
Formation energy = 1278 meV per atom

Cell lengths 4.265, 4.265, 4.265 Å; angles 90.00, 90.00, 90.00 degrees
Space group Pm-3m (No. 221)
Unique sites:
Al 0.000 0.000 0.000 [1 per cell]
Fe 0.000 0.000 0.500 [3 per cell]
Co 0.500 0.500 0.500 [1 per cell]

No. 8
First-principles (GGA-PBE) data for an optimized crystal structure of Cr2CdHg, as listed in Alexandria.

Total magnetization = 0.011 μB/f.u.
Energy relative to the lowest polymorph listed for this composition = 159 meV per atom
Formation energy = 445 meV per atom

Cell lengths 6.643, 6.643, 6.643 Å; angles 90.00, 90.00, 90.00 degrees
Space group F-43m (No. 216)
Unique sites:
Cr 0.000 0.000 0.000 [4 per cell]
Cr 0.250 0.250 0.250 [4 per cell]
Cd 0.250 0.250 0.750 [4 per cell]
Hg 0.000 0.000 0.500 [4 per cell]

Question: What is the total magnetization in the first record?
Answer: 2.729 μB/f.u.

Question: Look up the total magnetization of the second one.
Answer: 1.092 μB/f.u.